[1]
# La2ThIr (PBE, optimized geometry)
data_La2ThIr
_chemical_formula_sum 'La6 Th3 Ir3'
_space_group_name_H-M_alt 'R -3 m'
_space_group_IT_number 166
_space_group_name_Hall '-R 3 2"'
_cell_length_a 3.8070
_cell_length_b 3.8070
_cell_length_c 32.5197
_cell_angle_alpha 90.00
_cell_angle_beta 90.00
_cell_angle_gamma 120.00
loop_
_atom_site_label
_atom_site_type_symbol
_atom_site_fract_x
_atom_site_fract_y
_atom_site_fract_z
La1 La 0.0000 0.0000 0.1115
Th1 Th 0.0000 0.0000 0.0000
Ir1 Ir 0.0000 0.0000 0.5000
# volume = 34.01 Å³/atom
# crystal system = trigonal
# magnetic moment = 0.000 Bohr magnetons per cell
# VASP energy = -78.93 eV per cell

[2]
# La2ThIr9 (PBE, optimized geometry)
data_La2ThIr9
_chemical_formula_sum 'La6 Th3 Ir27'
_space_group_name_H-M_alt 'R -3 m'
_space_group_IT_number 166
_space_group_name_Hall '-R 3 2"'
_cell_length_a 5.3790
_cell_length_b 5.3790
_cell_length_c 26.8704
_cell_angle_alpha 90.00
_cell_angle_beta 90.00
_cell_angle_gamma 120.00
loop_
_atom_site_label
_atom_site_type_symbol
_atom_site_fract_x
_atom_site_fract_y
_atom_site_fract_z
La1 La 0.0000 0.0000 0.1404
Th1 Th 0.0000 0.0000 0.0000
Ir1 Ir 0.0000 0.0000 0.3323
Ir2 Ir 0.0000 0.0000 0.5000
Ir3 Ir 0.0027 0.5013 0.0803
# volume = 18.70 Å³/atom
# crystal system = trigonal
# magnetic moment = 0.000 Bohr magnetons per cell
# VASP energy = -312.04 eV per cell

[3]
# LaThIr (PBE, optimized geometry)
data_LaThIr
_chemical_formula_sum 'La4 Th4 Ir4'
_space_group_name_H-M_alt 'F -4 3 m'
_space_group_IT_number 216
_space_group_name_Hall 'F -4 2 3'
_cell_length_a 7.067
_cell_length_b 7.067
_cell_length_c 7.067
_cell_angle_alpha 90.00
_cell_angle_beta 90.00
_cell_angle_gamma 90.00
loop_
_atom_site_label
_atom_site_type_symbol
_atom_site_fract_x
_atom_site_fract_y
_atom_site_fract_z
La1 La 0.000 0.000 0.000
Th1 Th 0.000 0.000 0.500
Ir1 Ir 0.250 0.250 0.750
# volume = 29.42 Å³/atom
# crystal system = cubic
# magnetic moment = 0.000 Bohr magnetons per cell
# VASP energy = -90.33 eV per cell

[4]
# LaTh2Ir (PBE, optimized geometry)
data_LaTh2Ir
_chemical_formula_sum 'La4 Th8 Ir4'
_space_group_name_H-M_alt 'P n m a'
_space_group_IT_number 62
_space_group_name_Hall '-P 2ac 2n'
_cell_length_a 7.309
_cell_length_b 10.058
_cell_length_c 6.454
_cell_angle_alpha 90.00
_cell_angle_beta 90.00
_cell_angle_gamma 90.00
loop_
_atom_site_label
_atom_site_type_symbol
_atom_site_fract_x
_atom_site_fract_y
_atom_site_fract_z
La1 La 0.038 0.250 0.148
Th1 Th 0.179 0.061 0.658
Ir1 Ir 0.110 0.750 0.385
# volume = 29.66 Å³/atom
# crystal system = orthorhombic
# magnetic moment = 0.000 Bohr magnetons per cell
# VASP energy = -122.48 eV per cell

[5]
# LaTh3Ir8 (PBE, optimized geometry)
data_LaTh3Ir8
_chemical_formula_sum 'La3 Th9 Ir24'
_space_group_name_H-M_alt 'R 3 m'
_space_group_IT_number 160
_space_group_name_Hall 'R 3 -2"'
_cell_length_a 5.4583
_cell_length_b 5.4583
_cell_length_c 26.7298
_cell_angle_alpha 90.00
_cell_angle_beta 90.00
_cell_angle_gamma 120.00
loop_
_atom_site_label
_atom_site_type_symbol
_atom_site_fract_x
_atom_site_fract_y
_atom_site_fract_z
La1 La 0.0000 0.0000 0.0000
Th1 Th 0.0000 0.0000 0.1242
Th2 Th 0.0000 0.0000 0.5026
Th3 Th 0.0000 0.0000 0.6282
Ir1 Ir 0.0000 0.0000 0.3137
Ir2 Ir 0.0000 0.0000 0.8136
Ir3 Ir 0.0026 0.5013 0.0645
Ir4 Ir 0.1677 0.3355 0.8960
# volume = 19.16 Å³/atom
# crystal system = trigonal
# magnetic moment = 0.000 Bohr magnetons per cell
# VASP energy = -322.78 eV per cell

[6]
# LaThIr (PBE, optimized geometry)
data_LaThIr
_chemical_formula_sum 'La1 Th1 Ir1'
_space_group_name_H-M_alt 'P 3 m 1'
_space_group_IT_number 156
_space_group_name_Hall 'P 3 -2"'
_cell_length_a 4.1661
_cell_length_b 4.1661
_cell_length_c 6.4887
_cell_angle_alpha 90.00
_cell_angle_beta 90.00
_cell_angle_gamma 120.00
loop_
_atom_site_label
_atom_site_type_symbol
_atom_site_fract_x
_atom_site_fract_y
_atom_site_fract_z
La1 La 0.0000 0.0000 0.0000
Th1 Th 0.6667 0.3333 0.5188
Ir1 Ir 0.3333 0.6667 0.7426
# volume = 32.51 Å³/atom
# crystal system = trigonal
# magnetic moment = 0.000 Bohr magnetons per cell
# VASP energy = -22.90 eV per cell

Which value of volume does entry 1 give? 34.01 Å³/atom

Which formula does entry 2 have? La2ThIr9

Which value of volume does entry 1 give? 34.01 Å³/atom